This record from Alexandria via LeMat-Bulk describes a relaxed structure of AcPrRhAu. The functional is PBE.

Cell and atoms, written as CIF:
```
data_AcPrRhAu
_cell_length_a 7.4747
_cell_length_b 7.4747
_cell_length_c 7.4747
_cell_angle_alpha 90.00
_cell_angle_beta 90.00
_cell_angle_gamma 90.00
_space_group_name_H-M_alt 'F -4 3 m'
_space_group_IT_number 216
_space_group_name_Hall 'F -4 2 3'
loop_
_atom_site_label
_atom_site_type_symbol
_atom_site_fract_x
_atom_site_fract_y
_atom_site_fract_z
Ac1 Ac 0.0000 0.0000 0.0000
Pr1 Pr 0.0000 0.0000 0.5000
Rh1 Rh 0.2500 0.2500 0.2500
Au1 Au 0.2500 0.2500 0.7500
```

Calculated values
Mass density in Mg/m³: 10.6
Magnetization in μB per formula unit: 0.0
VASP energy in eV per atom: -5.51
ΔE to the lowest computed polymorph in meV per atom: 93
Formation enthalpy at 0 K in eV/atom: -0.632
D(E_F) in states/eV/f.u.: 3.91